Entry 1:
Entry from the Alexandria database: crystalline AlCdSCl2 at its relaxed geometry (PBE).

Computed properties:
- Final energy: -2.634 eV per atom
- Volume: 27.74 A^3/atom
- Formation energy (no corrections): -0.1378 eV per atom

Geometry as CIF:
```
data_AlCdSCl2
_chemical_formula_sum 'Al1 Cd1 S1 Cl2'
_cell_length_a 5.186
_cell_length_b 5.186
_cell_length_c 5.157
_cell_angle_alpha 90.00
_cell_angle_beta 90.00
_cell_angle_gamma 90.00
_space_group_name_H-M_alt 'P 4/m m m'
_space_group_IT_number 123
_space_group_name_Hall '-P 4 2'
loop_
_atom_site_label
_atom_site_fract_x
_atom_site_fract_y
_atom_site_fract_z
Al1 0.000 0.000 0.000
Cd1 0.500 0.500 0.500
S1 0.500 0.500 0.000
Cl1 0.000 0.500 0.500
```

Entry 2:
Entry from the Alexandria database: crystalline AlCdSCl2 at its relaxed geometry (PBE).

Computed properties:
- Final energy: -3.133 eV per atom
- Volume: 21.26 A^3/atom
- Formation energy (no corrections): -0.6372 eV per atom

Geometry as CIF:
```
data_AlCdSCl2
_chemical_formula_sum 'Al1 Cd1 S1 Cl2'
_cell_length_a 4.695
_cell_length_b 4.695
_cell_length_c 4.822
_cell_angle_alpha 90.00
_cell_angle_beta 90.00
_cell_angle_gamma 90.00
_space_group_name_H-M_alt 'P 4/m m m'
_space_group_IT_number 123
_space_group_name_Hall '-P 4 2'
loop_
_atom_site_label
_atom_site_fract_x
_atom_site_fract_y
_atom_site_fract_z
Al1 0.000 0.000 0.000
Cd1 0.500 0.500 0.500
S1 0.000 0.000 0.500
Cl1 0.000 0.500 0.000
```

Entry 3:
Entry from the Alexandria database: crystalline AlCd2SbCl at its relaxed geometry (PBE).

Computed properties:
- Final energy: -1.960 eV per atom
- Volume: 34.69 A^3/atom
- Formation energy (no corrections): 0.3483 eV per atom

Geometry as CIF:
```
data_AlCd2SbCl
_chemical_formula_sum 'Al1 Cd2 Sb1 Cl1'
_cell_length_a 5.674
_cell_length_b 5.674
_cell_length_c 5.388
_cell_angle_alpha 90.00
_cell_angle_beta 90.00
_cell_angle_gamma 90.00
_space_group_name_H-M_alt 'P 4/m m m'
_space_group_IT_number 123
_space_group_name_Hall '-P 4 2'
loop_
_atom_site_label
_atom_site_fract_x
_atom_site_fract_y
_atom_site_fract_z
Al1 0.000 0.000 0.000
Cd1 0.000 0.500 0.500
Sb1 0.500 0.500 0.500
Cl1 0.500 0.500 0.000
```

Entry 4:
Entry from the Alexandria database: crystalline Al2TlCdCl8 at its relaxed geometry (PBE).

Computed properties:
- Final energy: -3.412 eV per atom
- Volume: 30.42 A^3/atom
- Formation energy (no corrections): -1.2837 eV per atom

Geometry as CIF:
```
data_Al2TlCdCl8
_chemical_formula_sum 'Al6 Tl3 Cd3 Cl24'
_cell_length_a 6.6613
_cell_length_b 6.6613
_cell_length_c 28.5007
_cell_angle_alpha 90.00
_cell_angle_beta 90.00
_cell_angle_gamma 120.00
_space_group_name_H-M_alt 'R -3'
_space_group_IT_number 148
_space_group_name_Hall '-R 3'
loop_
_atom_site_label
_atom_site_fract_x
_atom_site_fract_y
_atom_site_fract_z
Al1 0.0000 0.0000 0.2449
Tl1 0.0000 0.0000 0.5000
Cd1 0.0000 0.0000 0.0000
Cl1 0.0000 0.0000 0.1695
Cl2 0.0083 0.6285 0.9360
```

Entry 5:
Entry from the Alexandria database: crystalline AlCdCo2 at its relaxed geometry (PBE).

Computed properties:
- ΔE_f: -2.01 kcal/mol of atoms
- Final energy: -4.804 eV per atom
- Volume: 13.35 A^3/atom

Geometry as CIF:
```
data_AlCdCo2
_chemical_formula_sum 'Al1 Cd1 Co2'
_cell_length_a 2.922
_cell_length_b 2.922
_cell_length_c 6.251
_cell_angle_alpha 90.00
_cell_angle_beta 90.00
_cell_angle_gamma 90.00
_space_group_name_H-M_alt 'P 4/m m m'
_space_group_IT_number 123
_space_group_name_Hall '-P 4 2'
loop_
_atom_site_label
_atom_site_fract_x
_atom_site_fract_y
_atom_site_fract_z
Al1 0.000 0.000 0.000
Cd1 0.000 0.000 0.500
Co1 0.500 0.500 0.215
```

Entry 6:
Entry from the Alexandria database: crystalline AlCd2Co2 at its relaxed geometry (PBE).

Computed properties:
- ΔE_f: 0.91 kcal/mol of atoms
- Final energy: -3.917 eV per atom
- Volume: 15.64 A^3/atom

Geometry as CIF:
```
data_AlCd2Co2
_chemical_formula_sum 'Al2 Cd4 Co4'
_cell_length_a 6.071
_cell_length_b 6.071
_cell_length_c 4.244
_cell_angle_alpha 90.00
_cell_angle_beta 90.00
_cell_angle_gamma 90.00
_space_group_name_H-M_alt 'P 4/m b m'
_space_group_IT_number 127
_space_group_name_Hall '-P 4 2ab'
loop_
_atom_site_label
_atom_site_fract_x
_atom_site_fract_y
_atom_site_fract_z
Al1 0.000 0.000 0.000
Cd1 0.171 0.329 0.500
Co1 0.132 0.632 0.000
```

Entry 7:
Entry from the Alexandria database: crystalline AlCdCo2 at its relaxed geometry (PBE).

Computed properties:
- ΔE_f: 0.43 kcal/mol of atoms
- Final energy: -4.699 eV per atom
- Volume: 14.38 A^3/atom

Geometry as CIF:
```
data_AlCdCo2
_chemical_formula_sum 'Al1 Cd1 Co2'
_cell_length_a 2.866
_cell_length_b 2.866
_cell_length_c 7.002
_cell_angle_alpha 90.00
_cell_angle_beta 90.00
_cell_angle_gamma 90.00
_space_group_name_H-M_alt 'P 4 m m'
_space_group_IT_number 99
loop_
_space_group_symop_operation_xyz
'x,y,z'
'-y,x,z'
'-x,-y,z'
'y,-x,z'
'-x,y,z'
'y,x,z'
'x,-y,z'
'-y,-x,z'
loop_
_atom_site_label
_atom_site_fract_x
_atom_site_fract_y
_atom_site_fract_z
Al1 0.000 0.000 0.000
Cd1 0.500 0.500 0.334
Co1 0.000 0.000 0.606
Co2 0.500 0.500 0.799
```

Entry 8:
Entry from the Alexandria database: crystalline AlCdCo2 at its relaxed geometry (PBE).

Computed properties:
- ΔE_f: 1.59 kcal/mol of atoms
- Final energy: -4.648 eV per atom
- Volume: 14.03 A^3/atom

Geometry as CIF:
```
data_AlCdCo2
_chemical_formula_sum 'Al2 Cd2 Co4'
_cell_length_a 9.450
_cell_length_b 2.885
_cell_length_c 4.404
_cell_angle_alpha 90.00
_cell_angle_beta 110.80
_cell_angle_gamma 90.00
_space_group_name_H-M_alt 'C 1 m 1'
_space_group_IT_number 8
loop_
_space_group_symop_operation_xyz
'x,y,z'
'x,-y,z'
'x+1/2,y+1/2,z'
'x+1/2,-y+1/2,z'
loop_
_atom_site_label
_atom_site_fract_x
_atom_site_fract_y
_atom_site_fract_z
Al1 0.000 0.000 0.000
Cd1 0.278 0.500 0.320
Co1 0.041 0.500 0.550
Co2 0.260 0.000 0.806
```

Entry 9:
Entry from the Alexandria database: crystalline AlCdCo2 at its relaxed geometry (PBE).

Computed properties:
- ΔE_f: 1.58 kcal/mol of atoms
- Final energy: -4.649 eV per atom
- Volume: 13.93 A^3/atom

Geometry as CIF:
```
data_AlCdCo2
_chemical_formula_sum 'Al2 Cd2 Co4'
_cell_length_a 2.912
_cell_length_b 4.327
_cell_length_c 8.847
_cell_angle_alpha 90.00
_cell_angle_beta 90.00
_cell_angle_gamma 90.00
_space_group_name_H-M_alt 'I m m 2'
_space_group_IT_number 44
loop_
_space_group_symop_operation_xyz
'x,y,z'
'-x,-y,z'
'-x,y,z'
'x,-y,z'
'x+1/2,y+1/2,z+1/2'
'-x+1/2,-y+1/2,z+1/2'
'-x+1/2,y+1/2,z+1/2'
'x+1/2,-y+1/2,z+1/2'
loop_
_atom_site_label
_atom_site_fract_x
_atom_site_fract_y
_atom_site_fract_z
Al1 0.000 0.000 0.000
Cd1 0.000 0.500 0.777
Co1 0.000 0.000 0.543
Co2 0.000 0.500 0.266
```

Entry 10:
Entry from the Alexandria database: crystalline AlCdCo2 at its relaxed geometry (PBE).

Computed properties:
- ΔE_f: 4.39 kcal/mol of atoms
- Final energy: -4.527 eV per atom
- Volume: 14.62 A^3/atom

Geometry as CIF:
```
data_AlCdCo2
_chemical_formula_sum 'Al3 Cd3 Co6'
_cell_length_a 2.7731
_cell_length_b 2.7731
_cell_length_c 26.3444
_cell_angle_alpha 90.00
_cell_angle_beta 90.00
_cell_angle_gamma 120.00
_space_group_name_H-M_alt 'R 3 m'
_space_group_IT_number 160
_space_group_name_Hall 'R 3 -2"'
loop_
_atom_site_label
_atom_site_fract_x
_atom_site_fract_y
_atom_site_fract_z
Al1 0.0000 0.0000 0.0000
Cd1 0.0000 0.0000 0.7699
Co1 0.0000 0.0000 0.2609
Co2 0.0000 0.0000 0.5254
```

Entry 11:
Entry from the Alexandria database: crystalline AlCdCo2 at its relaxed geometry (PBE).

Computed properties:
- ΔE_f: 3.19 kcal/mol of atoms
- Final energy: -4.579 eV per atom
- Volume: 13.90 A^3/atom

Geometry as CIF:
```
data_AlCdCo2
_chemical_formula_sum 'Al2 Cd2 Co4'
_cell_length_a 3.745
_cell_length_b 3.745
_cell_length_c 7.928
_cell_angle_alpha 90.00
_cell_angle_beta 90.00
_cell_angle_gamma 90.00
_space_group_name_H-M_alt 'I -4 m 2'
_space_group_IT_number 119
_space_group_name_Hall 'I -4 -2'
loop_
_atom_site_label
_atom_site_fract_x
_atom_site_fract_y
_atom_site_fract_z
Al1 0.000 0.000 0.000
Cd1 0.000 0.500 0.750
Co1 0.000 0.000 0.500
Co2 0.000 0.500 0.250
```

Entry 12:
Entry from the Alexandria database: crystalline AlCdCo4 at its relaxed geometry (PBE).

Computed properties:
- ΔE_f: 1.89 kcal/mol of atoms
- Final energy: -5.432 eV per atom
- Volume: 13.09 A^3/atom

Geometry as CIF:
```
data_AlCdCo4
_chemical_formula_sum 'Al4 Cd4 Co16'
_cell_length_a 6.799
_cell_length_b 6.799
_cell_length_c 6.799
_cell_angle_alpha 90.00
_cell_angle_beta 90.00
_cell_angle_gamma 90.00
_space_group_name_H-M_alt 'F -4 3 m'
_space_group_IT_number 216
_space_group_name_Hall 'F -4 2 3'
loop_
_atom_site_label
_atom_site_fract_x
_atom_site_fract_y
_atom_site_fract_z
Al1 0.000 0.000 0.000
Cd1 0.250 0.250 0.750
Co1 0.126 0.126 0.374
```